# 1
Below is TlCd2Os after structural relaxation, with properties calculated at the PBE level.

Lattice parameters (Å, degrees): 3.0973 4.3570 5.9560 90.00 90.00 90.00
Positions (direct):
Cd 0.0000 0.0000 0.4764
Cd 0.0000 0.0000 0.0236
Tl 0.5000 0.5000 0.7500
Os 0.5000 0.5000 0.2500

Values from the calculation:
**Energy above the lowest structure with this stoichiometry**: 175 meV/atom
**Volume**: 20.094 Å³ per atom
**SG**: Pmmm
**ΔE_f**: 62.9 kJ per mole of atoms


# 2
Below is MnIn4P after structural relaxation, with properties calculated at the PBE level.

Lattice parameters (Å, degrees): 5.9630 5.9630 5.9630 60.00 60.00 60.00
Positions (direct):
Mn 0.7500 0.7500 0.7500
In 0.3749 0.3749 0.8754
In 0.3749 0.8754 0.3749
In 0.3749 0.3749 0.3749
In 0.8754 0.3749 0.3749
P 0.0000 0.0000 0.0000

Values from the calculation:
**Volume**: 24.987 Å³ per atom
**SG**: F-43m
**ΔE_f**: 62.8 kJ per mole of atoms


# 3
Below is TaHg2Pt after structural relaxation, with properties calculated at the PBE level.

Lattice parameters (Å, degrees): 4.7592 4.7592 5.9964 83.18 83.18 35.74
Positions (direct):
Pt 0.5027 0.5027 0.4613
Ta 0.2497 0.2497 0.2880
Hg 0.9963 0.9963 0.0090
Hg 0.7512 0.7512 0.7416

Values from the calculation:
**Energy above the lowest structure with this stoichiometry**: 170 meV/atom
**Volume**: 19.676 Å³ per atom
**SG**: Cm
**ΔE_f**: 13.1 kJ per mole of atoms


# 4
Below is PrAl3Os after structural relaxation, with properties calculated at the PBE level.

Lattice parameters (Å, degrees): 4.6596 4.6596 9.7442 90.00 90.00 120.00
Positions (direct):
Pr 0.6667 0.3333 0.2500
Pr 0.3333 0.6667 0.7500
Al 0.3333 0.6667 0.4340
Al 0.6667 0.3333 0.5660
Al 0.0000 0.0000 0.7500
Al 0.3333 0.6667 0.0660
Al 0.6667 0.3333 0.9340
Al 0.0000 0.0000 0.2500
Os 0.0000 0.0000 0.5000
Os 0.0000 0.0000 0.0000

Values from the calculation:
**Energy above the lowest structure with this stoichiometry**: 52 meV/atom
**Volume**: 18.322 Å³ per atom
**SG**: P6_3/mmc
**ΔE_f**: -29.8 kJ per mole of atoms


# 5
Below is DySiHRu2 after structural relaxation, with properties calculated at the PBE level.

Lattice parameters (Å, degrees): 3.3017 5.8469 7.5199 90.00 90.00 106.40
Positions (direct):
Ru 0.8467 0.6934 0.4524
Ru 0.1533 0.3066 0.9524
Ru 0.1533 0.3066 0.5476
Ru 0.8467 0.6934 0.0476
Si 0.2636 0.5272 0.2500
Si 0.7364 0.4728 0.7500
Dy 0.5404 0.0807 0.2500
Dy 0.4596 0.9193 0.7500
H 0.0000 0.0000 0.5000
H 0.0000 0.0000 0.0000

Values from the calculation:
**Volume**: 13.926 Å³ per atom
**SG**: Cmcm
**Uncorrected energy**: -6.940 eV/atom


# 6
Below is Cs8I2O3 after structural relaxation, with properties calculated at the PBE level.

Lattice parameters (Å, degrees): 9.1571 7.6367 10.2323 74.96 63.42 90.00
Positions (direct):
Cs 0.0891 0.8898 0.8219
Cs 0.3038 0.3748 0.8241
Cs 0.3967 0.0051 0.2065
Cs 0.9109 0.1102 0.1781
Cs 0.8722 0.3748 0.8241
Cs 0.6962 0.6252 0.1759
Cs 0.1278 0.6252 0.1759
Cs 0.6033 0.9949 0.7935
O 0.2620 0.0000 0.0000
O 0.0000 0.5000 0.0000
O 0.7380 0.0000 0.0000
I 0.2708 0.3358 0.4584
I 0.7292 0.6642 0.5416

Values from the calculation:
**Formation energy without anion corrections**: -1.159 eV per atom
**Volume**: 47.107 Å³ per atom
**SG**: C2/m